The following is a PBE calculation of a relaxed HfGaCuPt crystal, from OQMD.

Cell: 6.3723 6.3723 6.3723 Å, 90.00 90.00 90.00°
Space group F-43m (No. 216)
Asymmetric unit:
Hf: 0.0000 0.0000 0.0000
Ga: 0.2500 0.2500 0.2500
Cu: 0.0000 0.0000 0.5000
Pt: 0.2500 0.2500 0.7500

Spin magnetization   0.0 μB/cell
E above lowest polymorph   0.121 eV/atom